(1)
Below is TbDyN after structural relaxation, with properties calculated at the PBE level.

Calculated values
Its formation energy (no corrections) is -0.33 eV per atom. The value obtained for the mass density is 10262 kg/m3. As for the raw total energy: -6.1844 eV/atom. As for the distance to the lowest polymorph of the same formula: 739.7 meV/atom.

Unit cell a=4.250 b=4.250 c=4.250 alpha=60.00 beta=60.00 gamma=60.00
Fractional coordinates of all 3 atoms:
N  0.250  0.250  0.250
Tb  0.500  0.500  0.500
Dy  0.000  0.000  0.000



(2)
Below is Tb3Dy5N8 after structural relaxation, with properties calculated at the PBE level.

Calculated values
Its formation energy (no corrections) is -1.69 eV per atom. The value obtained for the mass density is 9734 kg/m3. As for the raw total energy: -8.1578 eV/atom.

Unit cell a=6.966 b=6.966 c=6.967 alpha=60.00 beta=60.00 gamma=60.00
Fractional coordinates of all 16 atoms:
Tb  0.500  0.000  0.500
Tb  0.000  0.000  0.500
Tb  0.000  0.500  0.500
Dy  0.500  0.000  0.000
Dy  0.500  0.500  0.000
Dy  0.000  0.000  0.000
Dy  0.000  0.500  0.000
Dy  0.500  0.500  0.500
N  0.250  0.250  0.751
N  0.250  0.749  0.751
N  0.749  0.250  0.751
N  0.750  0.750  0.751
N  0.750  0.750  0.249
N  0.750  0.251  0.249
N  0.251  0.750  0.249
N  0.250  0.250  0.249



(3)
Below is TbDy4N4 after structural relaxation, with properties calculated at the PBE level.

Calculated values
Its formation energy (no corrections) is -1.50 eV per atom. The value obtained for the mass density is 9525 kg/m3. As for the raw total energy: -7.7586 eV/atom.

Unit cell a=4.920 b=6.059 c=6.058 alpha=80.52 beta=66.04 gamma=66.05
Fractional coordinates of all 9 atoms:
Tb  0.000  0.000  0.000
Dy  0.609  0.578  0.203
Dy  0.391  0.422  0.797
Dy  0.187  0.203  0.422
Dy  0.813  0.797  0.578
N  0.901  0.397  0.800
N  0.099  0.603  0.200
N  0.299  0.800  0.602
N  0.701  0.200  0.398



(4)
Below is TbDy4N5 after structural relaxation, with properties calculated at the PBE level.

Calculated values
Its formation energy (no corrections) is -1.70 eV per atom. The value obtained for the mass density is 9809 kg/m3. As for the raw total energy: -8.1643 eV/atom.

Unit cell a=4.919 b=6.025 c=6.025 alpha=80.41 beta=65.91 gamma=65.91
Fractional coordinates of all 10 atoms:
Tb  0.001  0.000  0.000
Dy  0.402  0.400  0.800
Dy  0.802  0.800  0.600
Dy  0.201  0.200  0.400
Dy  0.601  0.600  0.200
N  0.900  0.401  0.799
N  0.301  0.799  0.599
N  0.700  0.201  0.401
N  0.101  0.599  0.201
N  0.501  0.000  0.000



(5)
Below is Tb3DyN4 after structural relaxation, with properties calculated at the PBE level.

Calculated values
Its formation energy (no corrections) is -1.67 eV per atom. The value obtained for the mass density is 9585 kg/m3. As for the raw total energy: -8.1471 eV/atom.

Unit cell a=4.939 b=4.939 c=4.939 alpha=90.00 beta=90.00 gamma=90.00
Fractional coordinates of all 8 atoms:
Tb  0.000  0.500  0.500
Tb  0.500  0.000  0.500
Tb  0.500  0.500  0.000
Dy  0.000  0.000  0.000
N  0.500  0.000  0.000
N  0.000  0.500  0.000
N  0.000  0.000  0.500
N  0.500  0.500  0.500



(6)
Below is Tb5DyN6 after structural relaxation, with properties calculated at the PBE level.

Calculated values
Its formation energy (no corrections) is -1.67 eV per atom. The value obtained for the mass density is 9557 kg/m3. As for the raw total energy: -8.1461 eV/atom.

Unit cell a=6.051 b=6.050 c=6.051 alpha=60.00 beta=80.41 gamma=70.54
Fractional coordinates of all 12 atoms:
N  0.750  0.083  0.332
N  0.250  0.584  0.332
N  0.250  0.249  0.000
N  0.750  0.751  0.000
N  0.750  0.416  0.668
N  0.250  0.917  0.668
Tb  0.500  0.167  0.667
Tb  0.000  0.333  0.333
Tb  0.500  0.500  0.000
Tb  0.000  0.667  0.667
Tb  0.500  0.833  0.333
Dy  0.000  0.000  0.000